(1)
# CeAsRu (PBE, relaxed)
data_CeAsRu
_symmetry_space_group_name_H-M 'P 1'
_symmetry_Int_Tables_number 1
_symmetry_space_group_name_Hall 'P 1'
_cell_length_a 4.823
_cell_length_b 4.823
_cell_length_c 4.823
_cell_angle_alpha 53.76
_cell_angle_beta 53.76
_cell_angle_gamma 53.76
loop_
_atom_site_label
_atom_site_type_symbol
_atom_site_fract_x
_atom_site_fract_y
_atom_site_fract_z
Ce1 Ce 0.000 0.000 0.000
As1 As 0.507 0.507 0.507
Ru1 Ru 0.197 0.197 0.197
# Formation energy = -667 meV per atom
# Symmetry = No. 160
# Electronic total energy = -7.29 eV/atom
# Magnetic moment = 0.00 μB per formula unit

---

(2)
# Y2ScSb3 (PBE, relaxed)
data_Y2ScSb3
_symmetry_space_group_name_H-M 'P 1'
_symmetry_Int_Tables_number 1
_symmetry_space_group_name_Hall 'P 1'
_cell_length_a 7.482
_cell_length_b 7.482
_cell_length_c 7.474
_cell_angle_alpha 99.62
_cell_angle_beta 99.62
_cell_angle_gamma 120.02
loop_
_atom_site_label
_atom_site_type_symbol
_atom_site_fract_x
_atom_site_fract_y
_atom_site_fract_z
Y1 Y 0.000 0.000 0.000
Y2 Y 0.163 0.837 0.500
Y3 Y 0.500 0.500 0.500
Y4 Y 0.837 0.163 0.500
Sc1 Sc 0.332 0.668 0.000
Sc2 Sc 0.668 0.332 0.000
Sb1 Sb 0.081 0.422 0.241
Sb2 Sb 0.263 0.263 0.763
Sb3 Sb 0.422 0.081 0.241
Sb4 Sb 0.578 0.919 0.759
Sb5 Sb 0.737 0.737 0.237
Sb6 Sb 0.919 0.578 0.759
# Uncorrected formation energy = -1.08 eV per atom
# Symmetry = No. 12
# Electronic total energy = -6.35 eV/atom
# Magnetic moment = 0.00 μB per formula unit

---

(3)
# Nd2AgRh (PBE, relaxed)
data_Nd2AgRh
_symmetry_space_group_name_H-M 'P 1'
_symmetry_Int_Tables_number 1
_symmetry_space_group_name_Hall 'P 1'
_cell_length_a 5.930
_cell_length_b 4.584
_cell_length_c 7.920
_cell_angle_alpha 90.00
_cell_angle_beta 110.99
_cell_angle_gamma 90.00
loop_
_atom_site_label
_atom_site_type_symbol
_atom_site_fract_x
_atom_site_fract_y
_atom_site_fract_z
Nd1 Nd 0.211 0.250 0.439
Nd2 Nd 0.236 0.250 0.924
Nd3 Nd 0.764 0.750 0.076
Nd4 Nd 0.789 0.750 0.561
Ag1 Ag 0.331 0.750 0.212
Ag2 Ag 0.669 0.250 0.788
Rh1 Rh 0.330 0.750 0.710
Rh2 Rh 0.670 0.250 0.290
# Formation energy = -496 meV per atom
# Symmetry = No. 11
# Electronic total energy = -5.43 eV/atom
# Magnetic moment = 0.00 μB per formula unit

---

(4)
# MnNbVIn2 (PBE, relaxed)
data_MnNbVIn2
_symmetry_space_group_name_H-M 'P 1'
_symmetry_Int_Tables_number 1
_symmetry_space_group_name_Hall 'P 1'
_cell_length_a 5.421
_cell_length_b 5.421
_cell_length_c 4.483
_cell_angle_alpha 90.00
_cell_angle_beta 90.00
_cell_angle_gamma 90.00
loop_
_atom_site_label
_atom_site_type_symbol
_atom_site_fract_x
_atom_site_fract_y
_atom_site_fract_z
Mn1 Mn 0.000 0.000 0.000
Nb1 Nb 0.500 0.500 0.500
V1 V 0.500 0.500 0.000
In1 In 0.000 0.500 0.500
In2 In 0.500 0.000 0.500
# Formation energy = 1179 meV per atom
# Symmetry = No. 123
# Electronic total energy = -5.59 eV/atom
# Magnetic moment = 5.72 μB per formula unit

---

(5)
# Mg6AlGa5 (PBE, relaxed)
data_Mg6AlGa5
_symmetry_space_group_name_H-M 'P 1'
_symmetry_Int_Tables_number 1
_symmetry_space_group_name_Hall 'P 1'
_cell_length_a 7.934
_cell_length_b 7.934
_cell_length_c 4.341
_cell_angle_alpha 105.47
_cell_angle_beta 105.47
_cell_angle_gamma 108.94
loop_
_atom_site_label
_atom_site_type_symbol
_atom_site_fract_x
_atom_site_fract_y
_atom_site_fract_z
Mg1 Mg 0.077 0.412 0.745
Mg2 Mg 0.239 0.239 0.239
Mg3 Mg 0.412 0.077 0.745
Mg4 Mg 0.588 0.923 0.255
Mg5 Mg 0.761 0.761 0.761
Mg6 Mg 0.923 0.588 0.255
Al1 Al 0.500 0.500 0.000
Ga1 Ga 0.000 0.000 0.500
Ga2 Ga 0.172 0.828 0.000
Ga3 Ga 0.345 0.655 0.500
Ga4 Ga 0.655 0.345 0.500
Ga5 Ga 0.828 0.172 0.000
# Formation energy = -114 meV per atom
# Symmetry = No. 12
# Electronic total energy = -2.48 eV/atom
# Magnetic moment = 0.00 μB per formula unit

---

(6)
# Ca4TeSe3 (PBE, relaxed)
data_Ca4TeSe3
_symmetry_space_group_name_H-M 'P 1'
_symmetry_Int_Tables_number 1
_symmetry_space_group_name_Hall 'P 1'
_cell_length_a 7.443
_cell_length_b 8.600
_cell_length_c 7.436
_cell_angle_alpha 90.00
_cell_angle_beta 109.51
_cell_angle_gamma 90.00
loop_
_atom_site_label
_atom_site_type_symbol
_atom_site_fract_x
_atom_site_fract_y
_atom_site_fract_z
Ca1 Ca 0.236 0.133 0.002
Ca2 Ca 0.236 0.867 0.502
Ca3 Ca 0.248 0.382 0.492
Ca4 Ca 0.248 0.618 0.992
Ca5 Ca 0.752 0.382 0.008
Ca6 Ca 0.752 0.618 0.508
Ca7 Ca 0.764 0.133 0.498
Ca8 Ca 0.764 0.867 0.998
Te1 Te 0.500 0.125 0.750
Te2 Te 0.500 0.875 0.250
Se1 Se 0.000 0.127 0.250
Se2 Se 0.000 0.377 0.750
Se3 Se 0.000 0.623 0.250
Se4 Se 0.000 0.873 0.750
Se5 Se 0.500 0.377 0.250
Se6 Se 0.500 0.623 0.750
# Uncorrected formation energy = -1.92 eV per atom
# Symmetry = No. 13
# Electronic total energy = -4.62 eV/atom
# Magnetic moment = 0.00 μB per formula unit

---

(7)
# LaTb4Pm (PBE, relaxed)
data_LaTb4Pm
_symmetry_space_group_name_H-M 'P 1'
_symmetry_Int_Tables_number 1
_symmetry_space_group_name_Hall 'P 1'
_cell_length_a 5.781
_cell_length_b 7.076
_cell_length_c 9.758
_cell_angle_alpha 90.00
_cell_angle_beta 90.34
_cell_angle_gamma 90.00
loop_
_atom_site_label
_atom_site_type_symbol
_atom_site_fract_x
_atom_site_fract_y
_atom_site_fract_z
La1 La 0.217 0.250 0.419
La2 La 0.783 0.750 0.581
Tb1 Tb 0.252 0.002 0.755
Tb2 Tb 0.252 0.498 0.755
Tb3 Tb 0.277 0.250 0.081
Tb4 Tb 0.278 0.750 0.416
Tb5 Tb 0.722 0.250 0.584
Tb6 Tb 0.723 0.750 0.919
Tb7 Tb 0.748 0.502 0.245
Tb8 Tb 0.748 0.998 0.245
Pm1 Pm 0.222 0.750 0.082
Pm2 Pm 0.778 0.250 0.918
# E above lowest polymorph = 41 meV per atom
# Formation energy = 64 meV per atom
# Symmetry = No. 11
# Electronic total energy = -4.64 eV/atom
# Magnetic moment = 0.00 μB per formula unit

---

(8)
# VPAuS2 (PBE, relaxed)
data_VPAuS2
_symmetry_space_group_name_H-M 'P 1'
_symmetry_Int_Tables_number 1
_symmetry_space_group_name_Hall 'P 1'
_cell_length_a 4.440
_cell_length_b 4.440
_cell_length_c 4.815
_cell_angle_alpha 90.00
_cell_angle_beta 90.00
_cell_angle_gamma 90.00
loop_
_atom_site_label
_atom_site_type_symbol
_atom_site_fract_x
_atom_site_fract_y
_atom_site_fract_z
V1 V 0.000 0.000 0.000
P1 P 0.000 0.000 0.500
Au1 Au 0.500 0.500 0.500
S1 S 0.000 0.500 0.000
S2 S 0.500 0.000 0.000
# Uncorrected formation energy = 0.28 eV per atom
# E above lowest polymorph = 0 meV per atom
# Symmetry = No. 123
# Electronic total energy = -4.94 eV/atom
# Magnetic moment = 0.00 μB per formula unit